A relaxed structure of NaPr2OsO8. Source: the Alexandria database, functional PBE.

a b c (Å): 4.3596 5.2383 7.2533
angles (deg): 90.04 104.17 90.00
With the nearest neighbours (Å) after each atom.
Sites, in units of the cell vectors:
1 Na 0.0000 0.0000 0.0000  4 O 2.53-2.60
2 Pr 0.3827 0.4881 0.7170  8 O 2.44-2.73
3 Pr 0.6173 0.5119 0.2830  8 O 2.44-2.73
4 Os 0.0000 0.0000 0.5000  6 O 1.83-1.97
5 O 0.1647 0.5365 0.9990  1 O 1.49
6 O 0.1770 0.6927 0.4089  1 Os 1.97
7 O 0.2296 0.2148 0.3865  1 Os 1.83
8 O 0.3176 0.0120 0.7394  1 Os 1.94
9 O 0.6824 0.9880 0.2606  1 Os 1.94
10 O 0.7704 0.7852 0.6135  1 Os 1.83
11 O 0.8230 0.3073 0.5911  1 Os 1.97
12 O 0.8353 0.4635 0.0010  1 O 1.49

Results
**Space-group type**: P-1
**Formation energy from raw total energies**: -23.0 eV per formula unit

=====

A relaxed structure of AcBe2SiO6. Source: the Alexandria database, functional PBE.

a b c (Å): 6.9066 6.9066 6.8918
angles (deg): 117.02 117.02 79.19
With the nearest neighbours (Å) after each atom.
Sites, in units of the cell vectors:
1 Ac 0.2016 0.7984 0.7500  6 O 2.49-2.74
2 Ac 0.7984 0.2016 0.2500  6 O 2.49-2.74
3 Be 0.2195 0.3373 0.8996  3 O 1.52-1.56
4 Be 0.3373 0.2195 0.3996  3 O 1.52-1.56
5 Be 0.6627 0.7805 0.6004  3 O 1.52-1.56
6 Be 0.7805 0.6627 0.1004  3 O 1.52-1.56
7 Si 0.2164 0.7836 0.2500  4 O 1.63-1.65
8 Si 0.7836 0.2164 0.7500  4 O 1.63-1.65
9 O 0.0015 0.2084 0.7075  1 Be 1.56, 1 Si 1.65
10 O 0.1995 0.4015 0.4985  1 Be 1.52
11 O 0.2084 0.0015 0.2075  1 Be 1.56, 1 Si 1.65
12 O 0.2185 0.5872 0.0039  1 Be 1.54, 1 Si 1.63
13 O 0.4015 0.1995 0.9985  1 Be 1.52
14 O 0.4128 0.7815 0.4961  1 Be 1.54, 1 Si 1.63
15 O 0.5872 0.2185 0.5039  1 Be 1.54, 1 Si 1.63
16 O 0.5985 0.8005 0.0015  1 Be 1.52
17 O 0.7815 0.4128 0.9961  1 Be 1.54, 1 Si 1.63
18 O 0.7916 0.9985 0.7925  1 Be 1.56, 1 Si 1.65
19 O 0.8005 0.5985 0.5015  1 Be 1.52
20 O 0.9985 0.7916 0.2925  1 Be 1.56, 1 Si 1.65

Results
**Space-group type**: C2/c
**Formation energy from raw total energies**: -26.6 eV per formula unit

=====

A relaxed structure of PrZnF5. Source: the Alexandria database, functional PBE.

a b c (Å): 5.8004 5.8004 7.9308
angles (deg): 109.96 109.96 72.45
With the nearest neighbours (Å) after each atom.
Sites, in units of the cell vectors:
1 Pr 0.0563 0.9437 0.7500  7 F 2.28-2.46
2 Pr 0.9437 0.0563 0.2500  7 F 2.28-2.46
3 Zn 0.5000 0.5000 0.0000  6 F 1.98-2.14
4 Zn 0.5000 0.5000 0.5000  6 F 1.98-2.14
5 F 0.1813 0.7997 0.0323  1 Zn 2.14, 1 Pr 2.39
6 F 0.2003 0.8187 0.4677  1 Zn 2.14, 1 Pr 2.39
7 F 0.2459 0.2884 0.3804  1 Zn 1.98
8 F 0.2884 0.2459 0.8804  1 Zn 1.98
9 F 0.4032 0.5968 0.7500  2 Zn 2.09
10 F 0.5968 0.4032 0.2500  2 Zn 2.09
11 F 0.7116 0.7541 0.1196  1 Zn 1.98
12 F 0.7541 0.7116 0.6196  1 Zn 1.98
13 F 0.7997 0.1813 0.5323  1 Zn 2.14, 1 Pr 2.39
14 F 0.8187 0.2003 0.9677  1 Zn 2.14, 1 Pr 2.39

Results
**Space-group type**: C2/c
**Formation energy from raw total energies**: -23.0 eV per formula unit